[1]
# MgCuNiPb

An optimized crystal structure of MgCuNiPb (PBE, OQMD via LeMat-Bulk).

Properties
Crystal system: cubic
Energy above the most stable polymorph in this dataset in eV/f.u.: 0.00

The structure in CIF format:
```
data_MgCuNiPb
_cell_length_a 6.4106
_cell_length_b 6.4106
_cell_length_c 6.4106
_cell_angle_alpha 90.00
_cell_angle_beta 90.00
_cell_angle_gamma 90.00
_space_group_name_H-M_alt 'F -4 3 m'
_space_group_IT_number 216
_space_group_name_Hall 'F -4 2 3'
loop_
_atom_site_label
_atom_site_fract_x
_atom_site_fract_y
_atom_site_fract_z
Mg1 0.0000 0.0000 0.0000
Cu1 0.2500 0.2500 0.2500
Ni1 0.2500 0.2500 0.7500
Pb1 0.0000 0.0000 0.5000
```

---

[2]
# LiScCdS3

An optimized crystal structure of LiScCdS3 (PBE, OQMD via LeMat-Bulk).

Properties
Crystal system: orthorhombic
DFT total energy in eV/atom: -4.73

The structure in CIF format:
```
data_LiScCdS3
_cell_length_a 3.7834
_cell_length_b 12.5458
_cell_length_c 10.4750
_cell_angle_alpha 90.00
_cell_angle_beta 90.00
_cell_angle_gamma 90.00
_space_group_name_H-M_alt 'C m c m'
_space_group_IT_number 63
_space_group_name_Hall '-C 2c 2'
loop_
_atom_site_label
_atom_site_fract_x
_atom_site_fract_y
_atom_site_fract_z
Li1 0.0000 0.2293 0.2500
Sc1 0.0000 0.5000 0.0000
Cd1 0.0000 0.0386 0.7500
S1 0.0000 0.1363 0.5483
S2 0.0000 0.4029 0.7500
```

---

[3]
# RbSmH8S2O12

An optimized crystal structure of RbSmH8S2O12 (PBE, OQMD via LeMat-Bulk).

Properties
Crystal system: monoclinic
DFT total energy in eV/atom: -5.73

The structure in CIF format:
```
data_RbSmH8S2O12
_cell_length_a 6.4598
_cell_length_b 18.2428
_cell_length_c 8.4821
_cell_angle_alpha 90.00
_cell_angle_beta 96.12
_cell_angle_gamma 90.00
_space_group_name_H-M_alt 'P 1 21/c 1'
_space_group_IT_number 14
loop_
_space_group_symop_operation_xyz
'x,y,z'
'-x,-y,-z'
'-x,y+1/2,-z+1/2'
'x,-y+1/2,z+1/2'
loop_
_atom_site_label
_atom_site_fract_x
_atom_site_fract_y
_atom_site_fract_z
Rb1 0.1415 0.2214 0.1094
Sm1 0.3366 0.6204 0.7210
H1 0.0073 0.0790 0.3525
H2 0.1832 0.5676 0.3900
H3 0.2028 0.1102 0.4557
H4 0.2525 0.0460 0.2450
H5 0.2860 0.5056 0.0011
H6 0.3123 0.6368 0.3605
H7 0.3430 0.5846 0.0670
H8 0.3436 0.0330 0.0802
S1 0.2021 0.0740 0.7775
S2 0.3821 0.7200 0.1048
O1 0.0306 0.1266 0.7890
O2 0.1266 0.5012 0.2591
O3 0.1336 0.1082 0.3457
O4 0.1848 0.7460 0.6430
O5 0.2247 0.6157 0.4394
O6 0.2793 0.5574 0.9721
O7 0.3174 0.0956 0.6391
O8 0.3180 0.0080 0.1804
O9 0.3589 0.0816 0.9193
O10 0.3669 0.7034 0.9335
O11 0.4306 0.6519 0.1972
O12 0.4494 0.2248 0.8585
```

---

[4]
# TlAg3O2

An optimized crystal structure of TlAg3O2 (PBE, OQMD via LeMat-Bulk).

Properties
Crystal system: orthorhombic
DFT total energy in eV/atom: -3.64

The structure in CIF format:
```
data_TlAg3O2
_cell_length_a 6.2803
_cell_length_b 10.9423
_cell_length_c 6.5893
_cell_angle_alpha 90.00
_cell_angle_beta 90.00
_cell_angle_gamma 90.00
_space_group_name_H-M_alt 'I b a m'
_space_group_IT_number 72
_space_group_name_Hall '-I 2 2c'
loop_
_atom_site_label
_atom_site_fract_x
_atom_site_fract_y
_atom_site_fract_z
Tl1 0.0000 0.0000 0.2500
Ag1 0.0000 0.5000 0.0000
Ag2 0.2500 0.2500 0.2500
O1 0.2458 0.3703 0.0000
```